(1)
Nd4NiRh | PBE-GGA | relaxed

a = 9.030 Å, b = 13.864 Å, c = 6.398 Å
α = 90.00°, β = 125.19°, γ = 90.00°
Space group C2/c (No. 15)
One atom of each set of equivalent atoms:
Nd 0.143 0.180 0.119 [8 per cell]
Nd 0.196 0.435 0.259 [8 per cell]
Ni 0.000 0.366 0.750 [4 per cell]
Rh 0.000 0.006 0.750 [4 per cell]

Computed properties:
N(E_F) ... 1.2323 states/eV per atom
Total magnetization ... 0.000 Bohr magnetons per cell
Mass density ... 7.49 g/cm3
Energy of formation ... -0.308 eV/atom


(2)
Y2HfMgC | PBE-GGA | relaxed

a = 5.024 Å, b = 5.024 Å, c = 4.488 Å
α = 90.00°, β = 90.00°, γ = 90.00°
Space group P4/mmm (No. 123)
One atom of each set of equivalent atoms:
Y 0.000 0.500 0.000 [2 per cell]
Hf 0.000 0.000 0.500 [1 per cell]
Mg 0.500 0.500 0.500 [1 per cell]
C 0.000 0.000 0.000 [1 per cell]

Computed properties:
N(E_F) ... 0.7166 states/eV per atom
Total magnetization ... 0.000 Bohr magnetons per cell
Mass density ... 5.76 g/cm3
Energy of formation ... -0.220 eV/atom